(1)
# V2Zn2I

A relaxed structure of V2Zn2I (PBE, Alexandria).

Structure (CIF):
```
data_V2Zn2I
_chemical_formula_sum 'V4 Zn4 I2'
_cell_length_a 7.176
_cell_length_b 7.176
_cell_length_c 3.516
_cell_angle_alpha 90.00
_cell_angle_beta 90.00
_cell_angle_gamma 90.00
_symmetry_space_group_name_H-M 'P 4/m b m'
_symmetry_Int_Tables_number 127
_symmetry_space_group_name_Hall '-P 4 2ab'
loop_
_atom_site_label
_atom_site_fract_x
_atom_site_fract_y
_atom_site_fract_z
_atom_site_occupancy
V1 0.100 0.400 0.000 1
Zn1 0.187 0.687 0.500 1
I1 0.000 0.000 0.000 1
```

Output
E_form (uncorrected): 0.434 eV/atom
raw total energy: -4.0333 eV per atom
Fermi-level density of states: 9.19 states/eV/cell

---

(2)
# V2ZnI

A relaxed structure of V2ZnI (PBE, Alexandria).

Structure (CIF):
```
data_V2ZnI
_chemical_formula_sum 'V8 Zn4 I4'
_cell_length_a 6.454
_cell_length_b 6.454
_cell_length_c 6.454
_cell_angle_alpha 90.00
_cell_angle_beta 90.00
_cell_angle_gamma 90.00
_symmetry_space_group_name_H-M 'F m -3 m'
_symmetry_Int_Tables_number 225
_symmetry_space_group_name_Hall '-F 4 2 3'
loop_
_atom_site_label
_atom_site_fract_x
_atom_site_fract_y
_atom_site_fract_z
_atom_site_occupancy
V1 0.250 0.250 0.250 1
Zn1 0.000 0.000 0.000 1
I1 0.000 0.000 0.500 1
```

Output
E_form (uncorrected): 0.704 eV/atom
raw total energy: -4.5615 eV per atom
Fermi-level density of states: 16.69 states/eV/cell

---

(3)
# Zr3VI

A relaxed structure of Zr3VI (PBE, Alexandria).

Structure (CIF):
```
data_Zr3VI
_chemical_formula_sum 'Zr3 V1 I1'
_cell_length_a 5.218
_cell_length_b 5.218
_cell_length_c 5.218
_cell_angle_alpha 90.00
_cell_angle_beta 90.00
_cell_angle_gamma 90.00
_symmetry_space_group_name_H-M 'P m -3 m'
_symmetry_Int_Tables_number 221
_symmetry_space_group_name_Hall '-P 4 2 3'
loop_
_atom_site_label
_atom_site_fract_x
_atom_site_fract_y
_atom_site_fract_z
_atom_site_occupancy
Zr1 0.000 0.000 0.500 1
V1 0.500 0.500 0.500 1
I1 0.000 0.000 0.000 1
```

Output
E_form (uncorrected): 1.198 eV/atom
raw total energy: -6.0650 eV per atom
Fermi-level density of states: 8.14 states/eV/cell

---

(4)
# ZrV3I

A relaxed structure of ZrV3I (PBE, Alexandria).

Structure (CIF):
```
data_ZrV3I
_chemical_formula_sum 'Zr1 V3 I1'
_cell_length_a 4.797
_cell_length_b 4.797
_cell_length_c 4.797
_cell_angle_alpha 90.00
_cell_angle_beta 90.00
_cell_angle_gamma 90.00
_symmetry_space_group_name_H-M 'P m -3 m'
_symmetry_Int_Tables_number 221
_symmetry_space_group_name_Hall '-P 4 2 3'
loop_
_atom_site_label
_atom_site_fract_x
_atom_site_fract_y
_atom_site_fract_z
_atom_site_occupancy
Zr1 0.000 0.000 0.000 1
V1 0.000 0.000 0.500 1
I1 0.500 0.500 0.500 1
```

Output
E_form (uncorrected): 1.739 eV/atom
raw total energy: -5.7515 eV per atom
Fermi-level density of states: 7.99 states/eV/cell